--- one ---
Compound: NbCd2Cl
Source: the Alexandria database
Functional: PBE
Structure: optimized geometry

The calculated volume is 23.693 Å³ per atom.

The structure belongs to space group Fm-3m (No. 225); the cell edges are 7.237, 7.237 and 7.237 Å and the angles 90.00°, 90.00° and 90.00°. The distinct sites, in fractional coordinates, are Nb at (0.000, 0.000, 0.000), Cd at (0.250, 0.250, 0.250) and Cl at (0.000, 0.000, 0.500).

--- two ---
Compound: NbCd2Cl
Source: the Alexandria database
Functional: PBE
Structure: optimized geometry

The calculated volume is 23.669 Å³ per atom.

The structure belongs to space group I-42d (No. 122); the cell edges are 8.245, 8.245 and 5.571 Å and the angles 90.00°, 90.00° and 90.00°. The distinct sites, in fractional coordinates, are Nb at (0.000, 0.000, 0.000), Cd at (0.250, 0.250, 0.375) and Cl at (0.000, 0.000, 0.500).

So which one wins? Going from most stable to least: two, one.

--- one ---
Compound: Nb2CdCl
Source: the Alexandria database
Functional: PBE
Structure: optimized geometry

The calculated volume is 18.283 Å³ per atom.

The structure belongs to space group Fm-3m (No. 225); the cell edges are 6.638, 6.638 and 6.638 Å and the angles 90.00°, 90.00° and 90.00°. The distinct sites, in fractional coordinates, are Nb at (0.250, 0.250, 0.250), Cd at (0.000, 0.000, 0.000) and Cl at (0.000, 0.000, 0.500).

--- two ---
Compound: Nb2CdCl
Source: the Alexandria database
Functional: PBE
Structure: optimized geometry

The calculated volume is 20.586 Å³ per atom.

The structure belongs to space group I-42d (No. 122); the cell edges are 3.983, 3.983 and 20.762 Å and the angles 90.00°, 90.00° and 90.00°. The distinct sites, in fractional coordinates, are Nb at (0.244, 0.250, 0.125), Cd at (0.000, 0.000, 0.000) and Cl at (0.000, 0.000, 0.500).

So which one wins? Going from most stable to least: two, one.

--- one ---
Compound: NbCdSCl2
Source: the Alexandria database
Functional: PBE
Structure: optimized geometry

The calculated volume is 23.952 Å³ per atom.

The structure belongs to space group P4/mmm (No. 123); the cell edges are 4.983, 4.983 and 4.823 Å and the angles 90.00°, 90.00° and 90.00°. The distinct sites, in fractional coordinates, are Nb at (0.000, 0.000, 0.000), Cd at (0.500, 0.500, 0.500), S at (0.000, 0.000, 0.500) and Cl at (0.000, 0.500, 0.000).

--- two ---
Compound: NbCdSCl2
Source: the Alexandria database
Functional: PBE
Structure: optimized geometry

The calculated volume is 25.989 Å³ per atom.

The structure belongs to space group P4/mmm (No. 123); the cell edges are 4.954, 4.954 and 5.296 Å and the angles 90.00°, 90.00° and 90.00°. The distinct sites, in fractional coordinates, are Nb at (0.000, 0.000, 0.000), Cd at (0.500, 0.500, 0.500), S at (0.500, 0.500, 0.000) and Cl at (0.000, 0.500, 0.500).

So which one wins? Going from most stable to least: one, two.

--- one ---
Compound: Nd2CdCl
Source: the Alexandria database
Functional: PBE
Structure: optimized geometry

The calculated volume is 28.122 Å³ per atom.

The structure belongs to space group R-3m (No. 166, hexagonal axes); the cell edges are 4.1904, 4.1904 and 22.1915 Å and the angles 90.00°, 90.00° and 120.00°. The distinct sites, in fractional coordinates, are Nd at (0.0000, 0.0000, 0.2400), Cd at (0.0000, 0.0000, 0.0000) and Cl at (0.0000, 0.0000, 0.5000).

--- two ---
Compound: Nd2CdCl
Source: the Alexandria database
Functional: PBE
Structure: optimized geometry

The calculated volume is 26.230 Å³ per atom.

The structure belongs to space group P4/mmm (No. 123); the cell edges are 3.493, 3.493 and 8.600 Å and the angles 90.00°, 90.00° and 90.00°. The distinct sites, in fractional coordinates, are Nd at (0.000, 0.000, 0.248), Cd at (0.500, 0.500, 0.500) and Cl at (0.500, 0.500, 0.000).

So which one wins? Going from most stable to least: one, two.